VASP calculation (PBE) on a relaxed structure of Y2MgNiSn.

Computed properties:
- SG: P4/mmm, No. 123
- Formation energy: 59.3 kJ per mole of atoms
- Electronic total energy: -21.2 eV per cell

abc: 5.7100 5.0428 5.7100
angles: 90.00 90.00 90.00
With the nearest neighbours (Å) after each atom.
Fractional coordinates of all 5 atoms:
Y  0.0000  0.0000  0.5000  2 Sn 2.86
Y  0.5000  0.0000  0.0000  2 Sn 2.86
Ni  0.5000  0.5000  0.5000  8 Y 3.81, 4 Mg 4.04
Mg  0.0000  0.5000  0.0000  2 Sn 2.52
Sn  0.0000  0.0000  0.0000  2 Mg 2.52